# 1
# GGA-PBE CuSn2Pd2, optimized geometry
data_CuSn2Pd2
_chemical_formula_sum 'Cu2 Sn4 Pd4'
_cell_length_a 7.3808
_cell_length_b 7.3808
_cell_length_c 3.4861
_cell_angle_alpha 90.00
_cell_angle_beta 90.00
_cell_angle_gamma 90.00
_symmetry_space_group_name_H-M 'P 4/m b m'
_symmetry_Int_Tables_number 127
_symmetry_space_group_name_Hall '-P 4 2ab'
loop_
_atom_site_label
_atom_site_fract_x
_atom_site_fract_y
_atom_site_fract_z
Cu1 0.0000 0.0000 0.0000
Sn1 0.1608 0.3392 0.0000
Pd1 0.1377 0.6377 0.5000
# Calculated formation energy in eV per formula unit: -0.811
# Calculated density in g/cm³: 8.99
# E in eV for the cell shown: -46.60
# V in A^3/atom: 18.991

***

# 2
# GGA-PBE CuSn7Pd4, optimized geometry
data_CuSn7Pd4
_chemical_formula_sum 'Cu2 Sn14 Pd8'
_cell_length_a 13.7885
_cell_length_b 5.0209
_cell_length_c 9.8784
_cell_angle_alpha 90.00
_cell_angle_beta 129.29
_cell_angle_gamma 90.00
_symmetry_space_group_name_H-M 'C 1 2/m 1'
_symmetry_Int_Tables_number 12
loop_
_symmetry_equiv_pos_as_xyz
'x,y,z'
'-x,-y,-z'
'-x,y,-z'
'x,-y,z'
'x+1/2,y+1/2,z'
'-x+1/2,-y+1/2,-z'
'-x+1/2,y+1/2,-z'
'x+1/2,-y+1/2,z'
loop_
_atom_site_label
_atom_site_fract_x
_atom_site_fract_y
_atom_site_fract_z
Cu1 0.0000 0.0000 0.0000
Sn1 0.0000 0.5000 0.0000
Sn2 0.0616 0.0000 0.3101
Sn3 0.1562 0.5000 0.5909
Sn4 0.2185 0.0000 0.8626
Pd1 0.0677 0.5000 0.7722
Pd2 0.2123 0.5000 0.3561
# Calculated formation energy in eV per formula unit: -2.631
# Calculated density in g/cm³: 8.28
# E in eV for the cell shown: -111.04
# V in A^3/atom: 22.055

***

# 3
# GGA-PBE Cu2SnPd3, optimized geometry
data_Cu2SnPd3
_chemical_formula_sum 'Cu8 Sn4 Pd12'
_cell_length_a 4.5619
_cell_length_b 13.7284
_cell_length_c 5.8318
_cell_angle_alpha 90.00
_cell_angle_beta 90.00
_cell_angle_gamma 90.00
_symmetry_space_group_name_H-M 'C m m m'
_symmetry_Int_Tables_number 65
_symmetry_space_group_name_Hall '-C 2 2'
loop_
_atom_site_label
_atom_site_fract_x
_atom_site_fract_y
_atom_site_fract_z
Cu1 0.0000 0.0000 0.0000
Cu2 0.0000 0.0000 0.5000
Cu3 0.0000 0.3320 0.0000
Sn1 0.0000 0.3398 0.5000
Pd1 0.0000 0.1654 0.2446
Pd2 0.0000 0.5000 0.2389
# Calculated formation energy in eV per formula unit: -1.762
# Calculated density in g/cm³: 10.28
# E in eV for the cell shown: -118.14
# V in A^3/atom: 15.218